# 1
DFT (PBE-GGA) results for crystalline NaScN2F at its relaxed geometry.

Energy above the lowest structure with this stoichiometry   0.00 eV per formula unit

Cell: 4.3505 4.3505 4.1259 Å, 90.00 90.00 90.00°
Closest atoms and distances in Å follow each position.
Positions (direct):
Na1 0.0000 0.0000 0.0000  8 N 3.00, 4 F 3.08
Sc1 0.5000 0.5000 0.5000  2 F 2.06, 4 N 2.18
N1 0.0000 0.5000 0.5000  2 Sc 2.18
N2 0.5000 0.0000 0.5000  2 Sc 2.18
F1 0.5000 0.5000 0.0000  2 Sc 2.06



# 2
DFT (PBE-GGA) results for crystalline NaScN2F6 at its relaxed geometry.

Cell: 6.0475 6.0475 6.0475 Å, 60.00 60.00 60.00°
Closest atoms and distances in Å follow each position.
Positions (direct):
Na1 0.0000 0.0000 0.0000  6 F 2.25
Sc1 0.5000 0.5000 0.5000  6 F 2.02
N1 0.2500 0.2500 0.2500  12 F 3.03
N2 0.7500 0.7500 0.7500  12 F 3.03
F1 0.2633 0.2633 0.7367  1 Sc 2.02, 1 Na 2.25
F2 0.2633 0.7367 0.2633  1 Sc 2.02, 1 Na 2.25
F3 0.2633 0.7367 0.7367  1 Sc 2.02, 1 Na 2.25
F4 0.7367 0.2633 0.2633  1 Sc 2.02, 1 Na 2.25
F5 0.7367 0.2633 0.7367  1 Sc 2.02, 1 Na 2.25
F6 0.7367 0.7367 0.2633  1 Sc 2.02, 1 Na 2.25



# 3
DFT (PBE-GGA) results for crystalline NaScNF2 at its relaxed geometry.

Energy above the lowest structure with this stoichiometry   0.00 eV per formula unit

Cell: 4.1635 4.1635 4.2230 Å, 90.00 90.00 90.00°
Closest atoms and distances in Å follow each position.
Positions (direct):
Na1 0.0000 0.0000 0.0000  4 N 2.94, 8 F 2.97
Sc1 0.5000 0.5000 0.5000  4 F 2.08, 2 N 2.11
N1 0.5000 0.5000 0.0000  2 Sc 2.11
F1 0.0000 0.5000 0.5000  2 Sc 2.08
F2 0.5000 0.0000 0.5000  2 Sc 2.08



# 4
DFT (PBE-GGA) results for crystalline NaSe2NF at its relaxed geometry.

Energy above the lowest structure with this stoichiometry   0.00 eV per formula unit

Cell: 4.4977 4.4977 5.1563 Å, 90.00 90.00 90.00°
Closest atoms and distances in Å follow each position.
Positions (direct):
Na1 0.0000 0.0000 0.0000  4 N 3.18, 8 Se 3.42
Se1 0.0000 0.5000 0.5000  2 F 2.25
Se2 0.5000 0.0000 0.5000  2 F 2.25
N1 0.5000 0.5000 0.0000  2 F 2.58
F1 0.5000 0.5000 0.5000  4 Se 2.25



# 5
DFT (PBE-GGA) results for crystalline NaSeN2F at its relaxed geometry.

Energy above the lowest structure with this stoichiometry   0.00 eV per formula unit

Cell: 3.7226 3.7226 4.8562 Å, 90.00 90.00 90.00°
Closest atoms and distances in Å follow each position.
Positions (direct):
Na1 0.0000 0.0000 0.0000  4 F 2.63
Se1 0.5000 0.5000 0.5000  4 N 1.86
N1 0.0000 0.5000 0.5000  2 Se 1.86
N2 0.5000 0.0000 0.5000  2 Se 1.86
F1 0.5000 0.5000 0.0000  2 Se 2.43, 4 Na 2.63



# 6
DFT (PBE-GGA) results for crystalline NaSeN2F at its relaxed geometry.

Energy above the lowest structure with this stoichiometry   5.72 eV per formula unit

Cell: 4.9676 4.9676 4.0929 Å, 90.00 90.00 90.00°
Closest atoms and distances in Å follow each position.
Positions (direct):
Na1 0.0000 0.0000 0.0000  8 N 3.22, 4 Se 3.51
Se1 0.5000 0.5000 0.0000  2 F 2.05
N1 0.0000 0.5000 0.5000  2 F 2.48
N2 0.5000 0.0000 0.5000  2 F 2.48
F1 0.5000 0.5000 0.5000  2 Se 2.05



# 7
DFT (PBE-GGA) results for crystalline NaSe2NF at its relaxed geometry.

Energy above the lowest structure with this stoichiometry   2.98 eV per formula unit

Cell: 5.6265 5.6265 4.6644 Å, 90.00 90.00 90.00°
Closest atoms and distances in Å follow each position.
Positions (direct):
Na1 0.0000 0.0000 0.0000  2 N 2.33
Se1 0.0000 0.5000 0.0000  2 Na 2.81
Se2 0.5000 0.0000 0.0000  2 Na 2.81
N1 0.0000 0.0000 0.5000  2 Na 2.33
F1 0.5000 0.5000 0.5000  8 Se 3.65, 4 N 3.98



# 8
DFT (PBE-GGA) results for crystalline NaSeN2F at its relaxed geometry.

Energy above the lowest structure with this stoichiometry   5.49 eV per formula unit

Cell: 4.6210 4.6210 3.9447 Å, 90.00 90.00 90.00°
Closest atoms and distances in Å follow each position.
Positions (direct):
Na1 0.0000 0.0000 0.0000  2 F 1.97
Se1 0.5000 0.5000 0.5000  8 N 3.04, 4 F 3.27
N1 0.0000 0.5000 0.0000  2 Na 2.31
N2 0.5000 0.0000 0.0000  2 Na 2.31
F1 0.0000 0.0000 0.5000  2 Na 1.97



# 9
DFT (PBE-GGA) results for crystalline NaSeN2F at its relaxed geometry.

Energy above the lowest structure with this stoichiometry   7.52 eV per formula unit

Cell: 4.6504 4.6504 5.5525 Å, 90.00 90.00 90.00°
Closest atoms and distances in Å follow each position.
Positions (direct):
Na1 0.0000 0.0000 0.0000  4 N 2.33
Se1 0.0000 0.0000 0.5000  2 Na 2.78
N1 0.0000 0.5000 0.0000  2 Na 2.33
N2 0.5000 0.0000 0.0000  2 Na 2.33
F1 0.5000 0.5000 0.5000  4 Se 3.29, 8 N 3.62



# 10
DFT (PBE-GGA) results for crystalline NaSiN2F at its relaxed geometry.

Energy above the lowest structure with this stoichiometry   0.00 eV per formula unit

Cell: 3.4484 3.4484 4.4771 Å, 90.00 90.00 90.00°
Closest atoms and distances in Å follow each position.
Positions (direct):
Na1 0.0000 0.0000 0.0000  4 F 2.44
Si1 0.5000 0.5000 0.5000  4 N 1.72
N1 0.0000 0.5000 0.5000  2 Si 1.72
N2 0.5000 0.0000 0.5000  2 Si 1.72
F1 0.5000 0.5000 0.0000  2 Si 2.24, 4 Na 2.44



# 11
DFT (PBE-GGA) results for crystalline NaSiNF2 at its relaxed geometry.

Energy above the lowest structure with this stoichiometry   0.00 eV per formula unit

Cell: 4.0616 4.0616 3.2890 Å, 90.00 90.00 90.00°
Closest atoms and distances in Å follow each position.
Positions (direct):
Na1 0.0000 0.0000 0.0000  8 F 2.61, 4 N 2.87
Si1 0.5000 0.5000 0.5000  2 N 1.64
N1 0.5000 0.5000 0.0000  2 Si 1.64
F1 0.0000 0.5000 0.5000  2 Si 2.03
F2 0.5000 0.0000 0.5000  2 Si 2.03



# 12
DFT (PBE-GGA) results for crystalline NaSiN2F at its relaxed geometry.

Energy above the lowest structure with this stoichiometry   10.55 eV per formula unit

Cell: 4.3944 4.3944 3.9103 Å, 90.00 90.00 90.00°
Closest atoms and distances in Å follow each position.
Positions (direct):
Na1 0.0000 0.0000 0.0000  2 F 1.96
Si1 0.5000 0.5000 0.5000  8 N 2.94, 4 F 3.11
N1 0.0000 0.5000 0.0000  2 Na 2.20
N2 0.5000 0.0000 0.0000  2 Na 2.20
F1 0.0000 0.0000 0.5000  2 Na 1.96



# 13
DFT (PBE-GGA) results for crystalline NaSiNF2 at its relaxed geometry.

Energy above the lowest structure with this stoichiometry   8.32 eV per formula unit

Cell: 3.9985 3.9985 4.4283 Å, 90.00 90.00 90.00°
Closest atoms and distances in Å follow each position.
Positions (direct):
Na1 0.0000 0.0000 0.0000  4 F 2.00, 2 N 2.21
Si1 0.5000 0.5000 0.5000  4 N 2.83, 8 F 2.98
N1 0.0000 0.0000 0.5000  2 Na 2.21
F1 0.0000 0.5000 0.0000  2 Na 2.00
F2 0.5000 0.0000 0.0000  2 Na 2.00



# 14
DFT (PBE-GGA) results for crystalline NaSnN2F at its relaxed geometry.

Energy above the lowest structure with this stoichiometry   4.24 eV per formula unit

Cell: 4.4610 4.4610 4.0001 Å, 90.00 90.00 90.00°
Closest atoms and distances in Å follow each position.
Positions (direct):
Na1 0.0000 0.0000 0.0000  2 F 2.00, 4 N 2.23
Sn1 0.5000 0.5000 0.5000  8 N 3.00, 4 F 3.15
N1 0.0000 0.5000 0.0000  2 Na 2.23
N2 0.5000 0.0000 0.0000  2 Na 2.23
F1 0.0000 0.0000 0.5000  2 Na 2.00



# 15
DFT (PBE-GGA) results for crystalline NaSnN2F at its relaxed geometry.

Energy above the lowest structure with this stoichiometry   0.00 eV per formula unit

Cell: 4.1253 4.1253 4.4349 Å, 90.00 90.00 90.00°
Closest atoms and distances in Å follow each position.
Positions (direct):
Na1 0.0000 0.0000 0.0000  4 F 2.92, 8 N 3.03
Sn1 0.5000 0.5000 0.5000  4 N 2.06, 2 F 2.22
N1 0.0000 0.5000 0.5000  2 Sn 2.06
N2 0.5000 0.0000 0.5000  2 Sn 2.06
F1 0.5000 0.5000 0.0000  2 Sn 2.22



# 16
DFT (PBE-GGA) results for crystalline NaSrNF2 at its relaxed geometry.

Energy above the lowest structure with this stoichiometry   0.00 eV per formula unit

Cell: 4.1843 4.1843 4.4422 Å, 90.00 90.00 90.00°
Closest atoms and distances in Å follow each position.
Positions (direct):
Na1 0.0000 0.0000 0.0000  4 F 2.09, 2 N 2.22
Sr1 0.5000 0.5000 0.5000  4 N 2.96, 8 F 3.05
N1 0.0000 0.0000 0.5000  2 Na 2.22
F1 0.0000 0.5000 0.0000  2 Na 2.09
F2 0.5000 0.0000 0.0000  2 Na 2.09



# 17
DFT (PBE-GGA) results for crystalline NaSrN2F at its relaxed geometry.

Energy above the lowest structure with this stoichiometry   0.11 eV per formula unit

Cell: 5.0546 5.0546 4.6656 Å, 90.00 90.00 90.00°
Closest atoms and distances in Å follow each position.
Positions (direct):
Na1 0.0000 0.0000 0.0000  8 N 3.44, 4 F 3.57
Sr1 0.5000 0.5000 0.5000  2 F 2.33, 4 N 2.53
N1 0.0000 0.5000 0.5000  2 Sr 2.53
N2 0.5000 0.0000 0.5000  2 Sr 2.53
F1 0.5000 0.5000 0.0000  2 Sr 2.33



# 18
DFT (PBE-GGA) results for crystalline NaSrNF2 at its relaxed geometry.

Energy above the lowest structure with this stoichiometry   0.01 eV per formula unit

Cell: 4.7029 4.7029 5.1288 Å, 90.00 90.00 90.00°
Closest atoms and distances in Å follow each position.
Positions (direct):
Na1 0.0000 0.0000 0.0000  4 N 3.33, 8 F 3.48
Sr1 0.5000 0.5000 0.5000  4 F 2.35, 2 N 2.56
N1 0.5000 0.5000 0.0000  2 Sr 2.56
F1 0.0000 0.5000 0.5000  2 Sr 2.35
F2 0.5000 0.0000 0.5000  2 Sr 2.35



# 19
DFT (PBE-GGA) results for crystalline NaSrN2F at its relaxed geometry.

Energy above the lowest structure with this stoichiometry   0.00 eV per formula unit

Cell: 4.4723 4.4723 4.1400 Å, 90.00 90.00 90.00°
Closest atoms and distances in Å follow each position.
Positions (direct):
Na1 0.0000 0.0000 0.0000  2 F 2.07, 4 N 2.24
Sr1 0.5000 0.5000 0.5000  8 N 3.05, 4 F 3.16
N1 0.0000 0.5000 0.0000  2 Na 2.24
N2 0.5000 0.0000 0.0000  2 Na 2.24
F1 0.0000 0.0000 0.5000  2 Na 2.07



# 20
DFT (PBE-GGA) results for crystalline NaTcN2F at its relaxed geometry.

Energy above the lowest structure with this stoichiometry   11.57 eV per formula unit

Cell: 4.0243 4.0243 3.6423 Å, 90.00 90.00 90.00°
Closest atoms and distances in Å follow each position.
Positions (direct):
Na1 0.0000 0.0000 0.0000  2 F 1.82, 4 N 2.01
Tc1 0.5000 0.5000 0.5000  8 N 2.71, 4 F 2.85
N1 0.0000 0.5000 0.0000  2 Na 2.01
N2 0.5000 0.0000 0.0000  2 Na 2.01
F1 0.0000 0.0000 0.5000  2 Na 1.82



no.,E_form (uncorrected) (meV/atom),ρ (g cm⁻³)
1,-625,2.444
2,-1005,2.229
3,-2070,2.721
4,684,3.405
5,380,3.676
6,1525,2.449
7,1281,2.406
8,1479,2.937
9,1885,2.060
10,-716,3.059
11,-1703,3.155
12,1394,2.157
13,-40,2.418
14,865,3.936
15,17,4.152
16,-1494,3.472
17,86,2.196
18,-1491,2.380
19,64,3.161
20,1854,4.729